Below is crystalline LaAgTe2 at its relaxed geometry, with properties calculated at the PBE level.

Unit cell a=12.1036 b=4.3215 c=4.8181 alpha=90.00 beta=93.97 gamma=90.00
Fractional positions:
La1 0.0000 0.0000 0.0000
La2 0.5000 0.5000 0.0000
Ag1 0.2422 0.5000 0.2747
Ag2 0.7422 0.0000 0.2747
Te1 0.0435 0.5000 0.5066
Te2 0.2910 0.0000 0.9337
Te3 0.5435 0.0000 0.5066
Te4 0.7910 0.5000 0.9337

Calculated values
**Crystal system**: monoclinic
**E_tot**: -4.449 eV/atom
**ΔE_f (raw)**: -933 meV per atom
**Space group**: No. 8



Below is crystalline CsAgGe2I8 at its relaxed geometry, with properties calculated at the PBE level.

Unit cell a=8.4644 b=8.4644 c=10.3664 alpha=90.00 beta=90.00 gamma=120.00
Fractional positions:
Cs1 0.0000 0.0000 0.0000
Ag1 0.0000 0.0000 0.5000
Ge1 0.3333 0.6667 0.7663
Ge2 0.6667 0.3333 0.2337
I1 0.1533 0.3151 0.6842
I2 0.1618 0.8467 0.6842
I3 0.3151 0.1618 0.3158
I4 0.3333 0.6667 0.0215
I5 0.6667 0.3333 0.9785
I6 0.6849 0.8382 0.6842
I7 0.8382 0.1533 0.3158
I8 0.8467 0.6849 0.3158

Calculated values
**Crystal system**: trigonal
**E_tot**: -2.540 eV/atom
**ΔE_f (raw)**: -428 meV per atom
**Space group**: No. 147



Below is crystalline Ag2Ge2Se at its relaxed geometry, with properties calculated at the PBE level.

Unit cell a=3.7103 b=3.7103 c=14.8505 alpha=90.00 beta=90.00 gamma=90.00
Fractional positions:
Ag1 0.0000 0.0000 0.0958
Ag2 0.0000 0.0000 0.9042
Ag3 0.5000 0.5000 0.4042
Ag4 0.5000 0.5000 0.5958
Ge1 0.0000 0.5000 0.2500
Ge2 0.0000 0.5000 0.7500
Ge3 0.5000 0.0000 0.2500
Ge4 0.5000 0.0000 0.7500
Se1 0.0000 0.0000 0.5000
Se2 0.5000 0.5000 0.0000

Calculated values
**Energy above the lowest structure with this stoichiometry**: 0.006 eV per atom
**Crystal system**: tetragonal
**E_tot**: -3.437 eV/atom
**ΔE_f (raw)**: 247 meV per atom
**Space group**: No. 139



Below is crystalline Pa3SbAs2 at its relaxed geometry, with properties calculated at the PBE level.

Unit cell a=6.4265 b=6.4265 c=9.6187 alpha=90.00 beta=90.00 gamma=133.31
Fractional positions:
Pa1 0.1340 0.8660 0.7500
Pa2 0.3655 0.6345 0.5441
Pa3 0.3655 0.6345 0.9559
Pa4 0.6345 0.3655 0.0441
Pa5 0.6345 0.3655 0.4559
Pa6 0.8660 0.1340 0.2500
Sb1 0.1976 0.8024 0.2500
Sb2 0.8024 0.1976 0.7500
As1 0.0000 0.0000 0.0000
As2 0.0000 0.0000 0.5000
As3 0.4633 0.5367 0.2500
As4 0.5367 0.4633 0.7500

Calculated values
**Crystal system**: orthorhombic
**E_tot**: -7.553 eV/atom
**ΔE_f (raw)**: -568 meV per atom
**Space group**: No. 63



Below is crystalline PuCdAs2 at its relaxed geometry, with properties calculated at the PBE level.

Unit cell a=4.0893 b=4.0893 c=10.3078 alpha=90.00 beta=90.00 gamma=90.00
Fractional positions:
Pu1 0.2500 0.2500 0.2161
Pu2 0.7500 0.7500 0.7839
Cd1 0.2500 0.7500 0.5000
Cd2 0.7500 0.2500 0.5000
As1 0.2500 0.2500 0.7102
As2 0.2500 0.7500 0.0000
As3 0.7500 0.2500 0.0000
As4 0.7500 0.7500 0.2898

Calculated values
**Energy above the lowest structure with this stoichiometry**: 0.000 eV per atom
**Crystal system**: tetragonal
**E_tot**: -6.652 eV/atom
**Formation energy from the elements**: -0.516 eV/atom
**Space group**: No. 129



Below is crystalline HoZnCu2Ni at its relaxed geometry, with properties calculated at the PBE level.

Unit cell a=3.7535 b=3.7983 c=11.1980 alpha=90.00 beta=90.00 gamma=90.00
Fractional positions:
Ho1 0.0000 0.0000 0.0000
Ho2 0.5000 0.5000 0.5000
Zn1 0.0000 0.5000 0.7604
Zn2 0.5000 0.0000 0.2604
Cu1 0.0000 0.0000 0.6159
Cu2 0.0000 0.5000 0.2630
Cu3 0.5000 0.0000 0.7630
Cu4 0.5000 0.5000 0.1159
Ni1 0.0000 0.0000 0.4034
Ni2 0.5000 0.5000 0.9034

Calculated values
**Crystal system**: orthorhombic
**E_tot**: -4.220 eV/atom
**Formation energy from the elements**: -0.255 eV/atom
**Space group**: No. 44